The following is a meta-GGA SCAN calculation of a PBEsol-optimized structure of Si3NiSn, from Alexandria.

Values from the calculation:
As for the space-group type: Pm-3m. For the raw formation energy, the calculation gives 2021.4 meV per atom.

Unit cell a=4.9966 b=4.9966 c=4.9966 alpha=90.00 beta=90.00 gamma=90.00
Atoms (fractional coordinates):
1 Si 0.0000 0.5000 0.0000
2 Si 0.5000 0.0000 0.0000
3 Si 0.0000 0.0000 0.5000
4 Ni 0.5000 0.5000 0.5000
5 Sn 0.0000 0.0000 0.0000